GGA-PBE TiReO2, relaxed; formation energy without anion corrections = -1.69 eV per atom; DFT total energy = -37.026 eV/cell; D(E_F) = 3.744 states/eV/f.u.; crystal system = trigonal; total magnetization = 0.0000 μB per atom; space group = R-3m, No. 166; distance to the lowest polymorph of the same formula = 0 meV/atom
1.0
1.395 0.806 6.536
-1.395 0.806 6.536
0.000 -1.611 6.536
Ti Re O
1 1 2
Direct
0.000 0.000 0.000
0.500 0.500 0.500
0.396 0.396 0.396
0.604 0.604 0.604